Here is crystalline Pm2Ga3Ni12Ir at its relaxed geometry from Alexandria. Energies are from PBE.

a b c (Å): 9.3769 9.3769 9.3769
angles (deg): 37.56 37.56 37.56
Atoms (fractional coordinates):
Pm  0.1501  0.1501  0.1501
Pm  0.8499  0.8499  0.8499
Ga  0.0000  0.5000  0.5000
Ga  0.5000  0.0000  0.5000
Ga  0.5000  0.5000  0.0000
Ni  0.0829  0.0829  0.6904
Ni  0.0829  0.6904  0.0829
Ni  0.1410  0.5716  0.5716
Ni  0.3096  0.9171  0.9171
Ni  0.4284  0.4284  0.8590
Ni  0.4284  0.8590  0.4284
Ni  0.5716  0.1410  0.5716
Ni  0.5716  0.5716  0.1410
Ni  0.6904  0.0829  0.0829
Ni  0.8590  0.4284  0.4284
Ni  0.9171  0.3096  0.9171
Ni  0.9171  0.9171  0.3096
Ir  0.5000  0.5000  0.5000

**Total magnetization**: 0.00 μB/f.u.
**Theoretical density**: 8.434 g cm⁻³
**ΔE_f**: 0.005 eV per atom